# Ga2FeO4 PBE+U optimized geometry
data_Ga2FeO4
_symmetry_space_group_name_H-M 'P 1'
_symmetry_Int_Tables_number 1
_cell_length_a 4.8197
_cell_length_b 4.8197
_cell_length_c 7.6602
_cell_angle_alpha 90.00
_cell_angle_beta 90.00
_cell_angle_gamma 114.91
loop_
_symmetry_equiv_pos_as_xyz
'x,y,z'
loop_
_atom_site_label
_atom_site_fract_x
_atom_site_fract_y
_atom_site_fract_z
_atom_site_occupancy
Ga1 0.2085 0.7894 0.0000 1
Ga2 0.7915 0.2106 0.0000 1
Ga3 0.2106 0.7915 0.5000 1
Ga4 0.7894 0.2085 0.5000 1
Fe1 0.5000 0.5000 0.2500 1
Fe2 0.5000 0.5000 0.7500 1
O1 0.6252 0.7896 0.0000 1
O2 0.3748 0.2104 0.0000 1
O3 0.2104 0.3748 0.5000 1
O4 0.7896 0.6252 0.5000 1
O5 0.5000 0.0000 0.3256 1
O6 0.0000 0.5000 0.1744 1
O7 0.5000 0.0000 0.6744 1
O8 0.0000 0.5000 0.8256 1
# Space-group type ... Cccm (66)
# DFT total energy ... -5.995 eV per atom
# Energy above the most stable polymorph in this dataset ... 240.6 meV/atom
# Crystal system ... orthorhombic